! Ac3Pr2Pb3, relaxed, DFT GGA-PBE; values from VASP
! offset from the most stable computed form: 0.00 eV/f.u.
! electronic total energy: -4.640 eV per atom
! calculated formation energy: -0.514 eV/atom
! space group: No. 193
! N(E_F): 19.56 states/eV per cell
&SYSTEM
  ibrav = 0, nat = 16, ntyp = 3
/
ATOMIC_SPECIES
Ac 227.00 Ac.upf
Pr 140.91 Pr.upf
Pb 207.20 Pb.upf
CELL_PARAMETERS angstrom
9.832 0.000 0.000
-4.916 8.515 0.000
0.000 0.000 7.082
ATOMIC_POSITIONS crystal
Ac 0.000 0.245 0.250
Ac 0.000 0.755 0.750
Ac 0.245 0.000 0.250
Ac 0.245 0.245 0.750
Ac 0.755 0.000 0.750
Ac 0.755 0.755 0.250
Pr 0.333 0.667 0.000
Pr 0.333 0.667 0.500
Pr 0.667 0.333 0.000
Pr 0.667 0.333 0.500
Pb 0.000 0.398 0.750
Pb 0.000 0.602 0.250
Pb 0.398 0.000 0.750
Pb 0.398 0.398 0.250
Pb 0.602 0.000 0.250
Pb 0.602 0.602 0.750